Entry 1:
LuTlHgSe3, optimized geometry, DFT GGA-PBE; total magnetic moment = 0.00 μB/atom; energy above the lowest structure with this stoichiometry = 6 meV per atom; mass density = 7.93 g/cm3
1.0
-5.5491 -5.8899 -1.5223
-0.2201 -0.8444 4.0693
-5.1753 8.9957 1.5866
Se Hg Lu Tl
6 2 2 2
Cartesian
-8.5543 -0.3729 2.6522
-1.9662 -1.5851 2.7571
-4.9584 -0.1831 0.7579
-8.9783 3.8465 1.3766
-5.9861 2.4446 3.3758
-2.3902 2.6343 1.4814
-1.0936 0.3829 1.0844
-9.8509 1.8785 3.0493
-3.7968 0.7868 3.1502
-7.1476 1.4746 0.9835
-5.5580 5.2460 1.8520
-5.3865 -2.9845 2.2817

=====

Entry 2:
LuTlHgSe3, optimized geometry, DFT GGA-PBE; total magnetic moment = 0.00 μB/atom; energy above the lowest structure with this stoichiometry = 3 meV per atom; mass density = 8.28 g/cm3
1.0
-2.9893 10.2376 2.3928
0.4620 -0.8146 4.0624
13.7464 4.1832 -0.7247
Tl Se Hg Lu
4 12 4 4
Cartesian
4.7753 9.4489 2.4211
11.8120 11.3647 4.1441
6.4438 4.1574 3.3094
-0.5928 2.2416 1.5865
10.6462 9.1189 1.6872
3.8727 3.6113 1.3532
7.2289 7.2161 1.6943
2.8012 10.7392 5.0435
3.9902 6.3902 4.0362
0.5730 4.4875 4.0433
0.3040 8.0990 2.6589
7.3464 9.9950 4.3773
10.9152 5.5074 3.0716
1.9105 0.1837 3.0283
9.3087 13.4226 2.7023
8.4179 2.8671 0.6870
9.0052 5.3749 1.1231
2.2140 8.2314 4.6074
8.8098 10.8891 2.2510
2.4094 2.7172 3.4795
10.5904 2.6198 2.5295
0.6288 10.9865 3.2010
2.0523 5.8461 2.0084
9.1669 7.7602 3.7222

=====

Entry 3:
LuTlHgSe3, optimized geometry, DFT GGA-PBE; total magnetic moment = 0.00 μB/atom; energy above the lowest structure with this stoichiometry = 56 meV per atom; mass density = 8.23 g/cm3
1.0
12.0598 0.0000 0.0000
0.0000 4.1874 0.0000
0.0000 0.0000 13.0524
Se Tl Lu Hg
12 4 4 4
Cartesian
2.9656 2.0937 2.1684
5.6843 0.0000 4.3324
11.1046 2.0937 7.4555
0.9553 0.0000 5.5970
9.0942 0.0000 10.8841
5.0746 2.0937 12.1232
3.0643 0.0000 8.6946
8.9955 2.0937 4.3579
11.7142 0.0000 2.1938
6.9852 0.0000 0.9293
6.3756 2.0937 8.7200
0.3457 2.0937 10.8587
4.0086 2.0937 6.5211
10.0386 2.0937 0.0051
2.0213 0.0000 13.0473
8.0512 0.0000 6.5314
5.6886 2.0937 2.3755
0.3414 0.0000 8.9017
6.3713 0.0000 10.6770
11.7185 2.0937 4.1507
3.0311 2.0937 10.4828
9.0288 0.0000 2.5696
2.9989 0.0000 3.9566
9.0610 2.0937 9.0959

=====

Entry 4:
LuSiHg2, optimized geometry, DFT GGA-PBE; total magnetic moment = 0.00 μB/atom; mass density = 11.29 g/cm3
1.0
4.1611 -2.6311 0.9216
-0.0942 -3.7563 3.3119
0.3670 -4.7396 -1.5776
Hg Lu Si
2 1 1
Cartesian
0.0000 0.0000 0.0000
3.3254 -8.3453 1.9920
1.1085 -2.7818 0.6640
2.2170 -5.5635 1.3280

=====

Entry 5:
SmLuHg, optimized geometry, DFT GGA-PBE; total magnetic moment = 0.00 μB/atom; DFT formation energy = -32 kJ/mol of formula units; energy above the lowest structure with this stoichiometry = 0 meV per atom; mass density = 9.34 g/cm3
1.0
-4.7557 -1.7748 0.4406
-3.8411 2.3994 -2.3344
-2.2946 -2.1592 -4.0042
Lu Sm Hg
1 1 1
Cartesian
-2.7229 -0.3836 -1.4745
-8.1686 -1.1509 -4.4234
0.0000 0.0000 0.0000

=====

Entry 6:
Lu2SnHg, optimized geometry, DFT GGA-PBE; total magnetic moment = 0.00 μB/atom; mass density = 10.52 g/cm3
1.0
-1.7445 -1.6366 4.7372
-4.1972 -3.2326 0.3100
0.6498 -5.0594 1.4639
Lu Sn Hg
2 1 1
Cartesian
0.0000 0.0000 0.0000
-3.9689 -7.4464 4.8833
-2.6460 -4.9643 3.2556
-1.3230 -2.4821 1.6278

=====

Entry 7:
LuSnHg2, optimized geometry, DFT GGA-PBE; total magnetic moment = 0.00 μB/atom; mass density = 11.48 g/cm3
1.0
-2.6583 -3.4941 2.8227
0.0908 0.2438 5.2130
-4.2703 1.4660 2.6188
Hg Sn Lu
2 1 1
Cartesian
-5.1284 -1.3383 7.9910
0.0000 0.0000 0.0000
-3.4189 -0.8922 5.3273
-1.7095 -0.4461 2.6637

=====

Entry 8:
LuTaHg, optimized geometry, DFT GGA-PBE; total magnetic moment = 0.01 μB/atom; DFT formation energy = 199 kJ/mol of formula units; energy above the lowest structure with this stoichiometry = 0 meV per atom; mass density = 12.39 g/cm3
1.0
1.6077 -1.6034 4.1438
-1.5814 -4.1078 1.7181
2.8555 -3.7624 0.1303
Hg Lu Ta
1 1 1
Cartesian
0.0000 0.0000 0.0000
0.7204 -2.3684 1.4980
2.1613 -7.1051 4.4941

=====

Entry 9:
TbLuHg, optimized geometry, DFT GGA-PBE; total magnetic moment = 0.00 μB/atom; DFT formation energy = -35 kJ/mol of formula units; energy above the lowest structure with this stoichiometry = 0 meV per atom; mass density = 9.74 g/cm3
1.0
0.0000 3.5712 3.5712
3.5712 0.0000 3.5712
3.5712 3.5712 0.0000
Lu Hg Tb
1 1 1
Cartesian
1.7856 1.7856 1.7856
0.0000 0.0000 0.0000
5.3568 5.3568 5.3568

=====

Entry 10:
Lu4Tc3Hg, optimized geometry, DFT GGA-PBE; total magnetic moment = 0.01 μB/atom; DFT formation energy = 141 kJ/mol of formula units; mass density = 11.63 g/cm3
1.0
6.8782 -4.0272 0.0000
6.8782 4.0272 0.0000
-0.7188 0.0000 3.0795
Lu Hg Tc
4 1 3
Cartesian
8.7021 -1.6038 0.4288
8.7021 1.6038 0.4288
4.3355 -1.6038 2.6507
4.3355 1.6038 2.6507
0.0000 0.0000 0.0000
6.5188 0.0000 1.5398
11.0508 0.0000 0.9904
1.9868 0.0000 2.0891

=====

Entry 11:
TmLuHgTe3, optimized geometry, DFT GGA-PBE; total magnetic moment = 0.00 μB/atom; energy above the lowest structure with this stoichiometry = 4 meV per atom; mass density = 7.62 g/cm3
1.0
2.1543 -7.6211 0.0000
2.1543 7.6211 0.0000
0.0000 0.0000 12.3073
Lu Tm Te Hg
2 2 6 2
Cartesian
0.0000 0.0000 6.1537
0.0000 0.0000 0.0000
2.1543 1.5017 9.2305
2.1543 -1.5017 3.0768
2.1543 2.1094 12.0762
2.1543 -7.0562 3.0768
2.1543 -2.1094 5.9226
2.1543 2.1094 6.3847
2.1543 7.0562 9.2305
2.1543 -2.1094 0.2311
2.1543 -3.7034 9.2305
2.1543 3.7034 3.0768

=====

Entry 12:
TmLuHgTe3, optimized geometry, DFT GGA-PBE; total magnetic moment = 0.00 μB/atom; energy above the lowest structure with this stoichiometry = 0 meV per atom; mass density = 7.59 g/cm3
1.0
2.1619 -7.6095 0.0000
2.1619 7.6095 0.0000
0.0000 0.0000 12.3337
Tm Te Lu Hg
2 6 2 2
Cartesian
0.0000 0.0000 0.0000
0.0000 0.0000 6.1669
2.1619 2.1223 12.0659
2.1619 7.0206 9.2503
2.1619 2.1223 6.4347
2.1619 -7.0206 3.0834
2.1619 -2.1223 5.8991
2.1619 -2.1223 0.2678
2.1619 -1.4567 3.0834
2.1619 1.4567 9.2503
2.1619 3.7634 3.0834
2.1619 -3.7634 9.2503

=====

Sequential total DFT energy (no corrections) output: -46.111, -92.293, -91.031, -10.611, -9.863, -13.414, -9.792, -14.607, -9.814, -48.016, -49.568, -49.614 eV per cell